[1]
Below is YCd after structural relaxation, with properties calculated at the GGA-PBEsol level.

Computed properties:
The density of states at the Fermi level is 26.173 states/eV per cell. The value obtained for the energy relative to the elements is -0.286 eV per atom. For the spin magnetization, the calculation gives 0.000 μB/f.u. As for the symmetry: Pbcm, No. 57.

a = 6.2841 Å, b = 9.1244 Å, c = 10.6621 Å
α = 90.00°, β = 90.00°, γ = 90.00°
Fractional positions:
Y 0.7500 0.8706 0.6808
Cd 0.2500 0.8853 0.1313
Y 0.7500 0.4544 0.8708
Cd 0.0000 0.2500 0.0781
Cd 0.2500 0.3853 0.8687
Y 0.5000 0.7500 0.3838
Cd 0.2500 0.9516 0.5800
Cd 0.5000 0.7500 0.9219
Y 0.7500 0.3706 0.3192
Y 0.0000 0.2500 0.6162
Cd 0.2500 0.4516 0.4200
Y 0.5000 0.2500 0.6162
Y 0.2500 0.5456 0.1292
Y 0.0000 0.7500 0.3838
Cd 0.7500 0.1147 0.8687
Cd 0.5000 0.2500 0.0781
Y 0.2500 0.1294 0.3192
Cd 0.7500 0.6147 0.1313
Y 0.2500 0.6294 0.6808
Y 0.7500 0.9544 0.1292
Cd 0.7500 0.5484 0.5800
Cd 0.7500 0.0484 0.4200
Cd 0.0000 0.7500 0.9219
Y 0.2500 0.0456 0.8708

---

[2]
Below is AlPd3S after structural relaxation, with properties calculated at the GGA-PBEsol level.

Computed properties:
The density of states at the Fermi level is 3.346 states/eV per cell. Its formation energy from raw total energies is -0.043 eV/atom. For the spin magnetization, the calculation gives 0.001 μB/f.u. As for the symmetry: Pm-3m, No. 221.

a = 4.4296 Å, b = 4.4296 Å, c = 4.4296 Å
α = 90.00°, β = 90.00°, γ = 90.00°
Fractional positions:
Pd 0.0000 0.5000 0.0000
S 0.0000 0.0000 0.0000
Pd 0.0000 0.0000 0.5000
Pd 0.5000 0.0000 0.0000
Al 0.5000 0.5000 0.5000